Entry one
VASP calculation (PBE-GGA) on a relaxed structure of Mg2FeMo.

a b c (Å): 4.3904 4.3904 4.3904
angles (deg): 120.00 120.00 90.00
Last column: nearest neighbours and their distance in Å.
Fractional positions:
Mo: 0.5000 0.5000 0.0000  4 Fe 2.69, 4 Mg 2.69
Mg: 0.2500 0.7500 0.5000  4 Mo 2.69, 4 Mg 2.69
Fe: 0.7500 0.2500 0.5000  4 Mo 2.69, 4 Mg 2.69
Mg: 0.0000 0.0000 0.0000  4 Mg 2.69, 4 Fe 2.69

Its symmetry is No. 216.

Entry two
VASP calculation (PBE-GGA) on a relaxed structure of Mg2FeMo.

a b c (Å): 2.7280 2.7280 8.6773
angles (deg): 90.00 90.00 90.00
Last column: nearest neighbours and their distance in Å.
Fractional positions:
Fe: 0.5000 0.5000 0.7500  4 Fe 2.73, 8 Mg 2.82
Mg: 0.0000 0.0000 0.9867  4 Mg 2.73, 4 Fe 2.82, 4 Mo 2.99
Mg: 0.0000 0.0000 0.5133  4 Mg 2.73, 4 Fe 2.82, 4 Mo 2.99
Mo: 0.5000 0.5000 0.2500  4 Mo 2.73, 8 Mg 2.99

Its symmetry is No. 123.

Entry three
VASP calculation (PBE-GGA) on a relaxed structure of Mg2FeMo.

a b c (Å): 4.3172 3.8599 3.8599
angles (deg): 90.00 90.00 90.00
Last column: nearest neighbours and their distance in Å.
Fractional positions:
Mg: 0.0000 0.0000 0.0000  4 Mg 2.73, 4 Mo 2.90, 4 Fe 2.90
Fe: 0.5000 0.0000 0.5000  4 Mo 2.73, 8 Mg 2.90
Mo: 0.5000 0.5000 0.0000  4 Fe 2.73, 8 Mg 2.90
Mg: 0.0000 0.5000 0.5000  4 Mg 2.73, 4 Fe 2.90, 4 Mo 2.90

Its symmetry is No. 123.

Which one is most stable, and which one is least stable? entry one is the most stable of them, while entry three is the least stable.

Entry one
VASP calculation (PBE-GGA) on a relaxed structure of Mg2FeMo.

a b c (Å): 3.0069 3.0069 7.2470
angles (deg): 90.00 90.00 90.00
Last column: nearest neighbours and their distance in Å.
Fractional positions:
Mo: 0.0000 0.0000 0.5456  4 Fe 2.48
Mg: 0.0000 0.0000 0.9584  4 Fe 2.73, 1 Mo 2.99, 4 Mg 3.01
Fe: 0.5000 0.5000 0.7211  4 Mo 2.48, 4 Mg 2.73
Mg: 0.5000 0.5000 0.2749  4 Mo 2.89, 8 Mg 3.01-3.13, 1 Fe 3.23

Its symmetry is No. 99.

Entry two
VASP calculation (PBE-GGA) on a relaxed structure of Mg2FeMo.

a b c (Å): 7.2384 7.2384 5.7415
angles (deg): 50.92 50.92 90.00
Last column: nearest neighbours and their distance in Å.
Fractional positions:
Mg: 0.6007 0.1250 0.2500  2 Fe 2.52, 2 Mg 2.63, 2 Mo 2.76
Mg: 0.1493 0.6250 0.2500  2 Fe 2.52, 2 Mg 2.63, 2 Mo 2.76
Mg: 0.8750 0.8507 0.7500  2 Fe 2.52, 2 Mg 2.63, 2 Mo 2.76
Fe: 0.2500 0.7500 0.5000  4 Mg 2.52, 2 Mo 2.60
Mg: 0.3750 0.3993 0.7500  2 Fe 2.52, 2 Mg 2.63, 2 Mo 2.76
Mo: 0.0000 0.0000 0.0000  2 Fe 2.60, 4 Mg 2.76
Mo: 0.7500 0.2500 0.5000  2 Fe 2.60, 4 Mg 2.76
Fe: 0.5000 0.5000 0.0000  4 Mg 2.52, 2 Mo 2.60

Its symmetry is No. 122.

Entry three
VASP calculation (PBE-GGA) on a relaxed structure of Mg2FeMo.

a b c (Å): 2.7148 2.7148 8.8705
angles (deg): 90.00 90.00 99.16
Last column: nearest neighbours and their distance in Å.
Fractional positions:
Mg: 0.0000 0.0000 0.9878  4 Mg 2.71, 4 Fe 2.75-2.95, 2 Mo 2.92
Fe: 0.5000 0.5000 0.7500  4 Fe 2.71, 8 Mg 2.75-2.95
Mo: 0.5000 0.5000 0.2500  4 Mo 2.71, 4 Mg 2.92
Mg: 0.0000 0.0000 0.5122  4 Mg 2.71, 4 Fe 2.75-2.95, 2 Mo 2.92

Its symmetry is No. 65.

Entry four
VASP calculation (PBE-GGA) on a relaxed structure of Mg2FeMo.

a b c (Å): 4.4797 4.4797 4.4797
angles (deg): 60.00 60.00 60.00
Last column: nearest neighbours and their distance in Å.
Fractional positions:
Fe: 0.0000 0.0000 0.0000  8 Mg 2.74
Mo: 0.5000 0.5000 0.5000  8 Mg 2.74
Mg: 0.7500 0.7500 0.7500  4 Mo 2.74, 4 Fe 2.74
Mg: 0.2500 0.2500 0.2500  4 Mo 2.74, 4 Fe 2.74

Its symmetry is No. 225.

Which one is most stable, and which one is least stable? entry one is the most stable of them, while entry two is the least stable.

Entry one
VASP calculation (PBE-GGA) on a relaxed structure of Mg2FeMo.

a b c (Å): 4.5588 2.6841 5.3877
angles (deg): 75.99 90.00 90.00
Last column: nearest neighbours and their distance in Å.
Fractional positions:
Mo: 0.5000 0.2500 0.2500  2 Mo 2.68, 2 Fe 2.70, 4 Mg 2.88
Fe: 0.5000 0.7500 0.7500  2 Fe 2.68, 2 Mo 2.70, 4 Mg 2.75
Mg: 0.0000 0.9477 0.9945  4 Mg 2.68-2.74, 2 Fe 2.75, 2 Mo 2.88
Mg: 0.0000 0.5523 0.5055  4 Mg 2.68-2.74, 2 Fe 2.75, 2 Mo 2.88

Its symmetry is No. 10.

Entry two
VASP calculation (PBE-GGA) on a relaxed structure of Mg2FeMo.

a b c (Å): 4.2676 2.7618 5.6590
angles (deg): 77.64 90.00 90.00
Last column: nearest neighbours and their distance in Å.
Fractional positions:
Mg: 0.5000 0.2630 0.2626  1 Fe 2.70, 4 Mg 2.76-2.88, 2 Mo 2.85
Mo: 0.0000 0.5665 0.5308  2 Fe 2.46
Mg: 0.0000 0.9518 0.9874  6 Mg 2.76-3.05, 3 Mo 2.77-3.03, 2 Fe 2.77
Fe: 0.5000 0.7186 0.7191  2 Mo 2.46, 1 Mg 2.70

Its symmetry is No. 6.

Which one is most stable, and which one is least stable? entry two is the most stable of them, while entry one is the least stable.